Density functional theory data (GGA-PBE) for an optimized crystal structure of AcSm2Pu.

Computed properties:
- Total magnetic moment: 6.52 μB/cell

Cell and atoms, written as extended XYZ:
```
4
Lattice="3.694 0.000 0.000 0.000 3.694 0.000 0.000 0.000 10.202" Properties=species:S:1:pos:R:3 pbc="T T T"
Ac 0.000 0.000 0.000
Sm 1.847 1.847 2.770
Sm 1.847 1.847 7.433
Pu 0.000 0.000 5.101
```

=====

Density functional theory data (GGA-PBE) for an optimized crystal structure of AcSm2Pu.

Computed properties:
- Total magnetic moment: 7.08 μB/cell

Cell and atoms, written as extended XYZ:
```
4
Lattice="6.035 0.000 0.000 0.000 6.035 0.000 0.000 0.000 3.853" Properties=species:S:1:pos:R:3 pbc="T T T"
Ac 0.000 0.000 0.000
Sm 0.000 3.018 1.927
Sm 3.018 0.000 1.927
Pu 3.018 3.018 0.000
```

=====

Density functional theory data (GGA-PBE) for an optimized crystal structure of AcSmPuSn.

Computed properties:
- Total magnetic moment: 28.04 μB/cell

Cell and atoms, written as extended XYZ:
```
16
Lattice="7.897 0.000 0.000 0.000 7.897 0.000 0.000 0.000 7.897" Properties=species:S:1:pos:R:3 pbc="T T T"
Ac 0.000 0.000 0.000
Ac 0.000 3.948 3.948
Ac 3.948 0.000 3.948
Ac 3.948 3.948 0.000
Sm 1.974 1.974 5.923
Sm 1.974 5.923 1.974
Sm 5.923 1.974 1.974
Sm 5.923 5.923 5.923
Pu 1.974 1.974 1.974
Pu 1.974 5.923 5.923
Pu 5.923 1.974 5.923
Pu 5.923 5.923 1.974
Sn 0.000 0.000 3.948
Sn 0.000 3.948 0.000
Sn 3.948 0.000 0.000
Sn 3.948 3.948 3.948
```

=====

| no. | D(E_F) (states/eV per cell) | VASP energy (eV per atom) |
| --- | --- | --- |
| 1 | 10.57 | -6.83 |
| 2 | 13.58 | -6.72 |
| 3 | 56.88 | -6.85 |